The following is a PBE calculation of an optimized crystal structure of LiCd3Se, from Alexandria.

Unit cell a=5.5132 b=5.5132 c=5.5132 alpha=90.00 beta=90.00 gamma=90.00
Space group Pm-3m (No. 221)
One atom of each set of equivalent atoms:
1 Li 0.0000 0.0000 0.0000 [1 per cell]
2 Cd 0.0000 0.5000 0.5000 [3 per cell]
3 Se 0.5000 0.5000 0.5000 [1 per cell]

Computed properties:
spin magnetization: 0.000 μB/atom
final energy: -1.34 eV/atom
formation energy without anion corrections: 1.450 eV per formula unit
ΔE to the lowest computed polymorph: 36 meV per atom